[1]
A plane-wave DFT calculation with PBE-GGA was carried out for Zr4Sc2Au3N3 after structural relaxation.

Summary:
As for the total DFT energy (no corrections): -7.908 eV per atom. Its total magnetic moment is 0.054 μB/cell. Its density is 9.2 g/cm³.

Geometry as POSCAR:
```
Zr4Sc2Au3N3
1.0
4.9073 -2.8396 0.0000
4.9073 2.8396 0.0000
-3.3004 0.0000 14.0791
N Au Sc Zr
6 6 4 8
Direct
0.6662 0.1679 0.0000
0.3338 0.8321 0.0000
0.0000 0.5000 0.0000
0.8321 0.3338 0.5000
0.5000 0.0000 0.5000
0.1679 0.6662 0.5000
0.2653 0.4181 0.7495
0.4181 0.2653 0.2495
0.5819 0.7347 0.7505
0.1014 0.8986 0.2500
0.8986 0.1014 0.7500
0.7347 0.5819 0.2505
0.6386 0.4710 0.9141
0.5290 0.3614 0.5859
0.4710 0.6386 0.4141
0.3614 0.5290 0.0859
0.6979 0.8652 0.0908
0.3021 0.1348 0.9092
0.8044 0.9678 0.4093
0.8652 0.6979 0.5908
0.0322 0.1956 0.0907
0.1956 0.0322 0.5907
0.9678 0.8044 0.9093
0.1348 0.3021 0.4092
```



[2]
A plane-wave DFT calculation with PBE-GGA was carried out for Ta4SiAuN2 after structural relaxation.

Summary:
As for the total DFT energy (no corrections): -9.651 eV per atom. Its total magnetic moment is 0.001 μB/cell. Its density is 14.2 g/cm³.

Geometry as POSCAR:
```
Ta4SiAuN2
1.0
-2.0122 -2.0008 -1.4915
3.0837 0.1144 -0.8686
2.7431 -9.1228 8.5366
Ta Au N Si
4 1 2 1
Direct
0.3333 0.6667 0.8532
0.6667 0.3333 0.6735
0.6667 0.3333 0.3265
0.3333 0.6667 0.1468
0.3333 0.6667 0.5000
0.0000 0.0000 0.2405
0.0000 0.0000 0.7595
0.6667 0.3333 0.0000
```



[3]
A plane-wave DFT calculation with PBE-GGA was carried out for SiW4AuN2 after structural relaxation.

Summary:
As for the total DFT energy (no corrections): -9.473 eV per atom. Its total magnetic moment is 0.004 μB/cell. Its density is 15.7 g/cm³.

Geometry as POSCAR:
```
SiW4AuN2
1.0
2.8434 0.0000 0.0000
-1.4217 2.4624 0.0000
0.0000 0.0000 14.8999
W Au Si N
4 1 1 2
Direct
0.6667 0.3333 0.1640
0.6667 0.3333 0.8360
0.3333 0.6667 0.6408
0.3333 0.6667 0.3592
0.3333 0.6667 0.0000
0.6667 0.3333 0.5000
0.0000 0.0000 0.2604
0.0000 0.0000 0.7396
```



[4]
A plane-wave DFT calculation with PBE-GGA was carried out for Y4SiAuN2 after structural relaxation.

Summary:
As for the total DFT energy (no corrections): -7.470 eV per atom. Its total magnetic moment is 0.316 μB/cell. Its density is 6.5 g/cm³.

Geometry as POSCAR:
```
Y4SiAuN2
1.0
3.5167 0.0000 0.0000
-1.7584 3.0456 0.0000
0.0000 0.0000 14.4552
N Y Au Si
2 4 1 1
Direct
0.3333 0.6667 0.7454
0.3333 0.6667 0.2546
0.0000 0.0000 0.3456
0.6667 0.3333 0.8439
0.6667 0.3333 0.1562
0.0000 0.0000 0.6544
0.0000 0.0000 0.0000
0.6667 0.3333 0.5000
```



[5]
A plane-wave DFT calculation with PBE-GGA was carried out for Zr4SiAuN2 after structural relaxation.

Summary:
As for the total DFT energy (no corrections): -8.543 eV per atom. Its total magnetic moment is 0.004 μB/cell. Its density is 8.0 g/cm³.

Geometry as POSCAR:
```
Zr4SiAuN2
1.0
-2.0106 0.3340 -2.5799
-0.1233 -2.7230 1.8386
-9.4311 5.9059 8.1145
Au N Zr Si
1 2 4 1
Direct
0.0000 0.0000 0.0000
0.3333 0.6667 0.2547
0.3333 0.6667 0.7453
0.0000 0.0000 0.6507
0.6667 0.3333 0.8354
0.6667 0.3333 0.1646
0.0000 0.0000 0.3493
0.6667 0.3333 0.5000
```



[6]
A plane-wave DFT calculation with PBE-GGA was carried out for Ta4SnAuN2 after structural relaxation.

Summary:
As for the total DFT energy (no corrections): -9.375 eV per atom. Its total magnetic moment is 0.006 μB/cell. Its density is 14.6 g/cm³.

Geometry as POSCAR:
```
Ta4SnAuN2
1.0
-1.0449 -2.9094 -0.9084
0.3952 0.6656 3.1276
-12.7787 4.3760 0.6835
N Ta Sn Au
2 4 1 1
Direct
0.3333 0.6667 0.2442
0.3333 0.6667 0.7558
0.0000 0.0000 0.3282
0.6667 0.3333 0.8370
0.6667 0.3333 0.1630
0.0000 0.0000 0.6718
0.6667 0.3333 0.5000
0.0000 0.0000 0.0000
```



Question: The highest total magnetic moment belongs to which entry?
Answer: Y4SiAuN2



Question: Which of these has the highest total DFT energy (no corrections)?
Answer: Y4SiAuN2